First-principles (PBE-GGA) data for a relaxed structure of Lu2Ta2O5, as listed in the Alexandria database.

abc: 3.4684 3.4684 9.7464
angles: 90.00 90.00 90.00
Atoms (fractional coordinates):
1 O 0.5000 0.0000 0.8762
2 O 0.0000 0.5000 0.1238
3 O 0.0000 0.5000 0.8762
4 O 0.5000 0.5000 0.5000
5 O 0.5000 0.0000 0.1238
6 Ta 0.0000 0.0000 0.0000
7 Ta 0.0000 0.0000 0.5000
8 Lu 0.5000 0.5000 0.7353
9 Lu 0.5000 0.5000 0.2647

Output
SG: No. 123
energy relative to the elements, uncorrected: -2.3010 eV/atom
total energy: -78.2 eV for the cell shown

First-principles (PBE-GGA) data for a relaxed structure of LuTa3O9, as listed in the Alexandria database.

abc: 6.4046 7.5912 12.5387
angles: 90.00 90.00 90.00
Atoms (fractional coordinates):
1 Lu 0.9405 0.7500 0.5369
2 Lu 0.4405 0.7500 0.9631
3 Lu 0.0595 0.2500 0.4631
4 Lu 0.5595 0.2500 0.0369
5 O 0.2994 0.4649 0.0336
6 O 0.3857 0.9557 0.8314
7 O 0.4202 0.2500 0.4710
8 O 0.5074 0.4504 0.6577
9 O 0.9926 0.9504 0.1577
10 O 0.1143 0.4557 0.3314
11 O 0.1462 0.2500 0.6629
12 O 0.6143 0.4557 0.1686
13 O 0.7994 0.0351 0.4664
14 O 0.8538 0.7500 0.3371
15 O 0.3538 0.7500 0.1629
16 O 0.2994 0.0351 0.0336
17 O 0.7006 0.5351 0.9664
18 O 0.1143 0.0443 0.3314
19 O 0.7994 0.4649 0.4664
20 O 0.2006 0.9649 0.5336
21 O 0.0074 0.4504 0.8423
22 O 0.9926 0.5496 0.1577
23 O 0.6975 0.7500 0.8108
24 O 0.6143 0.0443 0.1686
25 O 0.5074 0.0496 0.6577
26 O 0.1975 0.7500 0.6892
27 O 0.0074 0.0496 0.8423
28 O 0.3857 0.5443 0.8314
29 O 0.8857 0.5443 0.6686
30 O 0.4926 0.5496 0.3423
31 O 0.5798 0.7500 0.5290
32 O 0.9202 0.2500 0.0290
33 O 0.8857 0.9557 0.6686
34 O 0.3025 0.2500 0.1892
35 O 0.0798 0.7500 0.9710
36 O 0.7006 0.9649 0.9664
37 O 0.2006 0.5351 0.5336
38 O 0.8025 0.2500 0.3108
39 O 0.4926 0.9504 0.3423
40 O 0.6462 0.2500 0.8371
41 Ta 0.5000 0.5000 0.5000
42 Ta 0.0000 0.5000 0.0000
43 Ta 0.6941 0.0027 0.7888
44 Ta 0.3059 0.9973 0.2112
45 Ta 0.5000 0.0000 0.5000
46 Ta 0.1941 0.0027 0.7112
47 Ta 0.6941 0.4973 0.7888
48 Ta 0.8059 0.9973 0.2888
49 Ta 0.8059 0.5027 0.2888
50 Ta 0.3059 0.5027 0.2112
51 Ta 0.1941 0.4973 0.7112
52 Ta 0.0000 0.0000 0.0000

Output
SG: No. 62
energy relative to the elements, uncorrected: -3.0086 eV/atom
energy above the lowest structure with this stoichiometry: 26 meV per atom
total energy: -495.3 eV for the cell shown

First-principles (PBE-GGA) data for a relaxed structure of Lu2TaO, as listed in the Alexandria database.

abc: 3.1716 3.1716 8.8390
angles: 79.66 79.66 60.00
Last column: magnetic moment on the atom in μB.
Atoms (fractional coordinates):
1 Lu 0.8879 0.8879 0.3362  0.05
2 Lu 0.1121 0.1121 0.6638  0.05
3 Ta 0.0000 0.0000 0.0000  0.47
4 O 0.5000 0.5000 0.5000  0.01

Output
SG: No. 166
energy relative to the elements, uncorrected: -0.8639 eV/atom
total energy: -29.3 eV for the cell shown

First-principles (PBE-GGA) data for a relaxed structure of LuTa7O19, as listed in the Alexandria database.

abc: 6.2561 6.2561 20.0410
angles: 90.00 90.00 120.00
Atoms (fractional coordinates):
1 O 0.7060 0.9431 0.9449
2 O 0.0569 0.7630 0.5551
3 O 0.6671 0.0880 0.1528
4 O 0.0853 0.3740 0.2500
5 O 0.2370 0.2940 0.5551
6 O 0.7060 0.7630 0.4449
7 O 0.9120 0.5791 0.1528
8 O 0.4209 0.0880 0.6528
9 O 0.9120 0.3329 0.6528
10 O 0.2370 0.2940 0.9449
11 O 0.9120 0.3329 0.8472
12 O 0.6260 0.7113 0.2500
13 O 0.6260 0.9147 0.7500
14 O 0.0000 0.0000 0.1650
15 O 0.0000 0.0000 0.6650
16 O 0.4209 0.3329 0.1528
17 O 0.7060 0.7630 0.0551
18 O 0.0569 0.2940 0.4449
19 O 0.3333 0.6667 0.6314
20 O 0.0569 0.2940 0.0551
21 O 0.4209 0.0880 0.8472
22 O 0.0853 0.7113 0.7500
23 O 0.3333 0.6667 0.8686
24 O 0.0000 0.0000 0.3350
25 O 0.7060 0.9431 0.5551
26 O 0.2887 0.9147 0.2500
27 O 0.0569 0.7630 0.9449
28 O 0.2370 0.9431 0.0551
29 O 0.6671 0.0880 0.3472
30 O 0.2370 0.9431 0.4449
31 O 0.6671 0.5791 0.6528
32 O 0.4209 0.3329 0.3472
33 O 0.2887 0.3740 0.7500
34 O 0.0000 0.0000 0.8350
35 O 0.3333 0.6667 0.3686
36 O 0.9120 0.5791 0.3472
37 O 0.3333 0.6667 0.1314
38 O 0.6671 0.5791 0.8472
39 Lu 0.3333 0.6667 0.5000
40 Lu 0.3333 0.6667 0.0000
41 Ta 0.6662 0.6928 0.1553
42 Ta 0.3072 0.9734 0.3447
43 Ta 0.0266 0.3338 0.3447
44 Ta 0.0266 0.6928 0.6553
45 Ta 0.6662 0.9734 0.8447
46 Ta 0.3072 0.3338 0.6553
47 Ta 0.6662 0.6928 0.3447
48 Ta 0.0000 0.0000 0.5000
49 Ta 0.3072 0.9734 0.1553
50 Ta 0.0266 0.6928 0.8447
51 Ta 0.6662 0.9734 0.6553
52 Ta 0.0000 0.0000 0.0000
53 Ta 0.0266 0.3338 0.1553
54 Ta 0.3072 0.3338 0.8447

Output
SG: No. 188
energy relative to the elements, uncorrected: -2.9212 eV/atom
total energy: -521.1 eV for the cell shown

First-principles (PBE-GGA) data for a relaxed structure of LuTa3O9, as listed in the Alexandria database.

abc: 7.4647 5.2236 8.3010
angles: 87.50 90.00 90.00
Atoms (fractional coordinates):
1 Lu 0.7500 0.0332 0.5653
2 Lu 0.2500 0.9668 0.4347
3 O 0.9431 0.6707 0.1198
4 O 0.5569 0.6707 0.1198
5 O 0.2500 0.8974 0.9763
6 O 0.0569 0.3293 0.8802
7 O 0.2500 0.6748 0.6499
8 O 0.7500 0.1026 0.0237
9 O 0.4431 0.3293 0.8802
10 O 0.0682 0.1444 0.2173
11 O 0.4529 0.2540 0.5326
12 O 0.7500 0.4129 0.6850
13 O 0.9318 0.8556 0.7827
14 O 0.0471 0.2540 0.5326
15 O 0.2500 0.5871 0.3150
16 O 0.9529 0.7460 0.4674
17 O 0.4318 0.1444 0.2173
18 O 0.5682 0.8556 0.7827
19 O 0.7500 0.3252 0.3501
20 O 0.5471 0.7460 0.4674
21 Ta 0.5000 0.0000 0.0000
22 Ta 0.0000 0.0000 0.0000
23 Ta 0.5075 0.4707 0.3046
24 Ta 0.9925 0.4707 0.3046
25 Ta 0.4925 0.5293 0.6954
26 Ta 0.0075 0.5293 0.6954

Output
SG: No. 11
energy relative to the elements, uncorrected: -3.0350 eV/atom
energy above the lowest structure with this stoichiometry: 0 meV per atom
total energy: -248.3 eV for the cell shown

First-principles (PBE-GGA) data for a relaxed structure of LuTaTiO6, as listed in the Alexandria database.

abc: 14.6169 5.1702 5.5993
angles: 89.75 90.00 90.00
Atoms (fractional coordinates):
1 Lu 0.4996 0.7462 0.2769
2 Lu 0.9996 0.2538 0.2231
3 Lu 0.5004 0.2538 0.7231
4 Lu 0.0004 0.7462 0.7769
5 O 0.4071 0.0155 0.0764
6 O 0.9071 0.9845 0.4236
7 O 0.4160 0.4184 0.4087
8 O 0.7398 0.3617 0.8676
9 O 0.9177 0.0817 0.9055
10 O 0.7423 0.8659 0.1366
11 O 0.0840 0.4184 0.9087
12 O 0.9081 0.4853 0.5678
13 O 0.5823 0.0817 0.4055
14 O 0.0919 0.5147 0.4322
15 O 0.4081 0.5147 0.9322
16 O 0.5840 0.5816 0.5913
17 O 0.0929 0.0155 0.5764
18 O 0.5929 0.9845 0.9236
19 O 0.9160 0.5816 0.0913
20 O 0.7602 0.3617 0.3676
21 O 0.4177 0.9183 0.5945
22 O 0.7577 0.8659 0.6366
23 O 0.5919 0.4853 0.0678
24 O 0.0823 0.9183 0.0945
25 O 0.2577 0.1341 0.8634
26 O 0.2602 0.6383 0.1324
27 O 0.2423 0.1341 0.3634
28 O 0.2398 0.6383 0.6324
29 Ta 0.6677 0.1889 0.1772
30 Ta 0.3323 0.8111 0.8228
31 Ta 0.1677 0.8111 0.3228
32 Ta 0.8323 0.1889 0.6772
33 Ti 0.3368 0.3074 0.1888
34 Ti 0.6632 0.6926 0.8112
35 Ti 0.8368 0.6926 0.3112
36 Ti 0.1632 0.3074 0.6888

Output
SG: No. 14
energy relative to the elements, uncorrected: -3.1996 eV/atom
total energy: -331.3 eV for the cell shown